## SrPt3 (GGA-PBEsol)

Data for crystalline SrPt3 at its relaxed geometry.

The structure belongs to space group Pmm2 (No. 25); the cell edges are 2.9164, 4.8188 and 5.0811 Å and the angles 90.00°, 90.00° and 90.00°. The inequivalent atoms are Sr at (0.0000, 0.0000, 0.0000), Pt at (0.0000, 0.5000, 0.5983), Pt at (0.5000, 0.0000, 0.5096) and Pt at (0.5000, 0.5000, 0.1430).

The calculation puts the density at 15.6 g/cm3. The density of states at the Fermi level comes out at 3.06 states/eV/cell.

## Sr3Pt2 (GGA-PBEsol)

Data for crystalline Sr3Pt2 at its relaxed geometry.

The structure belongs to space group R-3 (No. 148, hexagonal axes); the cell edges are 9.2067, 9.2067 and 17.5188 Å and the angles 90.00°, 90.00° and 120.00°. The inequivalent atoms are Sr at (0.0000, 0.0000, 0.0000), Sr at (0.0000, 0.0000, 0.2012), Sr at (0.0130, 0.2644, 0.5938) and Pt at (0.0212, 0.6066, 0.5652).

The calculation puts the density at 7.6 g/cm3. The density of states at the Fermi level comes out at 18.01 states/eV/cell.

Number 1: total DFT energy (no corrections) -5.867 eV/atom. Number 2: total DFT energy (no corrections) -4.571 eV/atom.